Density functional theory data (PBE-GGA) for ZrAuSe2 after structural relaxation.

Output
- Space-group type: No. 12
- Energy above the lowest structure with this stoichiometry: 202 meV/atom
- Formation energy (no corrections): -0.61 eV per atom

Unit cell a=4.958 b=4.958 c=5.499 alpha=84.37 beta=84.37 gamma=43.61
Atoms (fractional coordinates):
Au (0.750, 0.750, 0.750)
Se (0.938, 0.938, 0.043)
Se (0.562, 0.562, 0.457)
Zr (0.250, 0.250, 0.250)

---

Density functional theory data (PBE-GGA) for AgPBr5 after structural relaxation.

Output
- Space-group type: No. 2
- Formation energy (no corrections): -0.29 eV per atom

Unit cell a=11.703 b=8.596 c=7.395 alpha=121.46 beta=114.29 gamma=82.81
Atoms (fractional coordinates):
Ag (0.500, 0.000, 0.000)
Ag (0.500, 0.000, 0.500)
P (0.852, 0.635, 0.301)
P (0.148, 0.365, 0.699)
Br (0.786, 0.742, 0.058)
Br (0.062, 0.675, 0.424)
Br (0.577, 0.235, 0.442)
Br (0.823, 0.866, 0.614)
Br (0.177, 0.134, 0.386)
Br (0.598, 0.222, 0.948)
Br (0.402, 0.778, 0.052)
Br (0.423, 0.765, 0.558)
Br (0.938, 0.325, 0.576)
Br (0.214, 0.258, 0.942)

---

Density functional theory data (PBE-GGA) for ZrFeCo after structural relaxation.

Output
- ΔH_f (0 K): -0.290 eV per atom
- Space-group type: No. 74

Unit cell a=4.935 b=4.935 c=4.935 alpha=120.99 beta=118.60 gamma=90.36
Atoms (fractional coordinates):
Zr (0.128, 0.878, 0.250)
Zr (0.872, 0.122, 0.750)
Fe (0.500, 0.500, 0.500)
Fe (0.500, 0.000, 0.000)
Co (0.500, 0.500, 0.000)
Co (0.000, 0.500, 0.500)

---

Density functional theory data (PBE-GGA) for Mg14CoSb after structural relaxation.

Output
- Space-group type: No. 38
- Energy above the lowest structure with this stoichiometry: 12 meV/atom
- Formation energy (no corrections): 0.03 eV per atom

Unit cell a=6.296 b=6.296 c=10.127 alpha=90.00 beta=90.00 gamma=120.25
Atoms (fractional coordinates):
Mg (0.833, 0.167, 0.000)
Mg (0.335, 0.665, 0.000)
Mg (0.335, 0.162, 0.500)
Mg (0.335, 0.171, 0.000)
Mg (0.838, 0.665, 0.500)
Mg (0.829, 0.665, 0.000)
Mg (0.154, 0.324, 0.266)
Mg (0.154, 0.324, 0.734)
Mg (0.676, 0.846, 0.266)
Mg (0.676, 0.846, 0.734)
Mg (0.672, 0.328, 0.263)
Mg (0.672, 0.328, 0.737)
Mg (0.165, 0.835, 0.245)
Mg (0.165, 0.835, 0.755)
Co (0.832, 0.168, 0.500)
Sb (0.328, 0.672, 0.500)

---

Density functional theory data (PBE-GGA) for YGaCuPd after structural relaxation.

Output
- ΔH_f (0 K): -0.532 eV per atom
- Space-group type: No. 216

Unit cell a=4.652 b=4.652 c=4.652 alpha=60.00 beta=60.00 gamma=60.00
Atoms (fractional coordinates):
Y (0.250, 0.250, 0.250)
Cu (0.000, 0.000, 0.000)
Ga (0.750, 0.750, 0.750)
Pd (0.500, 0.500, 0.500)

---

Density functional theory data (PBE-GGA) for Ac5Sn4Pb after structural relaxation.

Output
- ΔH_f (0 K): -0.595 eV per atom
- Space-group type: No. 123

Unit cell a=3.838 b=3.838 c=23.222 alpha=90.00 beta=90.00 gamma=90.00
Atoms (fractional coordinates):
Ac (0.500, 0.500, 0.104)
Ac (0.500, 0.500, 0.302)
Ac (0.500, 0.500, 0.500)
Ac (0.500, 0.500, 0.698)
Ac (0.500, 0.500, 0.896)
Sn (0.000, 0.000, 0.202)
Sn (0.000, 0.000, 0.401)
Sn (0.000, 0.000, 0.599)
Sn (0.000, 0.000, 0.798)
Pb (0.000, 0.000, 0.000)

---

Density functional theory data (PBE-GGA) for TlHgRh2 after structural relaxation.

Output
- ΔH_f (0 K): 0.234 eV per atom
- Space-group type: No. 10

Unit cell a=3.136 b=4.673 c=5.423 alpha=67.39 beta=90.00 gamma=90.00
Atoms (fractional coordinates):
Tl (0.500, 0.500, 0.000)
Hg (0.000, 0.500, 0.500)
Rh (0.000, 0.000, 0.000)
Rh (0.500, 0.000, 0.500)

---

Density functional theory data (PBE-GGA) for ErAlIn after structural relaxation.

Output
- ΔH_f (0 K): -0.179 eV per atom
- Space-group type: No. 63

Unit cell a=3.392 b=4.518 c=9.529 alpha=90.00 beta=100.25 gamma=90.00
Atoms (fractional coordinates):
Er (0.380, 0.347, 0.760)
Er (0.620, 0.847, 0.240)
In (0.048, 0.347, 0.096)
In (0.952, 0.847, 0.904)
Al (0.217, 0.347, 0.434)
Al (0.783, 0.847, 0.566)

---

Number 1: mass density 8.0 g/cm³, DFT total energy -5.31 eV per atom. Number 2: mass density 3.1 g/cm³, DFT total energy -2.66 eV per atom. Number 3: mass density 8.0 g/cm³, DFT total energy -8.33 eV per atom. Number 4: mass density 2.5 g/cm³, DFT total energy -2.06 eV per atom. Number 5: mass density 7.7 g/cm³, DFT total energy -5.23 eV per atom. Number 6: mass density 8.8 g/cm³, DFT total energy -4.62 eV per atom. Number 7: mass density 13.8 g/cm³, DFT total energy -4.11 eV per atom. Number 8: mass density 7.1 g/cm³, DFT total energy -3.86 eV per atom.